Entry 1
Computed, not measured: Ti3ZnH after structural relaxation at the PBE-GGA level of DFT.

abc: 5.935 2.929 7.674
angles: 90.00 90.00 90.00
Sites, in units of the cell vectors:
H: 0.083 0.429 0.819
H: 0.082 0.428 0.319
Ti: 0.824 0.929 0.819
Ti: 0.082 0.429 0.069
Ti: 0.341 0.929 0.819
Ti: 0.082 0.429 0.569
Ti: 0.341 0.929 0.319
Ti: 0.824 0.929 0.319
Zn: 0.582 0.429 0.569
Zn: 0.582 0.429 0.069

Summary:
As for the density of states at the Fermi level: 0.715 states/eV per atom. Its space group is Pmmm. The value obtained for the volume is 133.4 Å³ per cell. For the total moment, the calculation gives 0.0 μB/cell.

Entry 2
Computed, not measured: Ti3ZnH after structural relaxation at the PBE-GGA level of DFT.

abc: 4.042 4.042 4.042
angles: 90.00 90.00 90.00
Sites, in units of the cell vectors:
Zn: 0.500 0.500 0.500
Ti: 0.000 0.000 0.500
Ti: 0.500 0.000 0.000
Ti: 0.000 0.500 0.000
H: 0.000 0.000 0.000

Summary:
As for the density of states at the Fermi level: 0.465 states/eV per atom. Its space group is Pm-3m. The value obtained for the volume is 66.0 Å³ per cell. For the total moment, the calculation gives 0.0 μB/cell.

Relative to the most stable structure, the computed energies are entry 1 4.5; entry 2 0.0, all in kJ/mol of atoms.

Entry 1
Computed, not measured: Ti3ZnH after structural relaxation at the PBE-GGA level of DFT.

abc: 6.003 2.955 7.625
angles: 90.00 90.00 90.00
Sites, in units of the cell vectors:
H: 0.082 0.878 0.421
H: 0.083 0.378 0.813
Ti: 0.082 0.378 0.564
Ti: 0.082 0.379 0.067
Ti: 0.826 0.879 0.808
Ti: 0.343 0.879 0.299
Ti: 0.822 0.879 0.299
Ti: 0.339 0.879 0.808
Zn: 0.582 0.379 0.557
Zn: 0.582 0.379 0.054

Summary:
As for the density of states at the Fermi level: 0.631 states/eV per atom. Its space group is Pmm2. The value obtained for the volume is 135.3 Å³ per cell. For the total moment, the calculation gives 0.0 μB/cell.

Entry 2
Computed, not measured: Ti3ZnH after structural relaxation at the PBE-GGA level of DFT.

abc: 18.966 5.175 7.904
angles: 90.00 159.43 90.00
Sites, in units of the cell vectors:
Zn: 0.456 0.328 0.797
Zn: 0.956 0.172 0.297
Zn: 0.544 0.672 0.203
Zn: 0.044 0.828 0.703
Ti: 0.066 0.352 0.850
Ti: 0.828 0.059 0.686
Ti: 0.934 0.648 0.150
Ti: 0.172 0.941 0.314
Ti: 0.566 0.148 0.350
Ti: 0.434 0.852 0.650
Ti: 0.328 0.441 0.186
Ti: 0.708 0.068 0.059
Ti: 0.792 0.568 0.441
Ti: 0.208 0.432 0.559
Ti: 0.292 0.932 0.941
Ti: 0.672 0.559 0.814
H: 0.487 0.775 0.531
H: 0.013 0.275 0.969
H: 0.513 0.225 0.469
H: 0.987 0.725 0.031

Summary:
As for the density of states at the Fermi level: 1.076 states/eV per atom. Its space group is P2_1/c. The value obtained for the volume is 272.6 Å³ per cell. For the total moment, the calculation gives 0.0 μB/cell.

Entry 3
Computed, not measured: Ti3ZnH after structural relaxation at the PBE-GGA level of DFT.

abc: 4.561 4.561 10.239
angles: 77.13 77.13 90.00
Sites, in units of the cell vectors:
Zn: 0.000 0.000 0.000
Zn: 0.250 0.750 0.500
H: 0.846 0.346 0.307
H: 0.654 0.154 0.693
Ti: 0.131 0.884 0.738
Ti: 0.622 0.869 0.262
Ti: 0.705 0.705 0.590
Ti: 0.295 0.295 0.410
Ti: 0.116 0.869 0.262
Ti: 0.131 0.378 0.738

Summary:
As for the density of states at the Fermi level: 1.292 states/eV per atom. Its space group is I-4m2. The value obtained for the volume is 202.2 Å³ per cell. For the total moment, the calculation gives 0.0 μB/cell.

Relative to the most stable structure, the computed energies are entry 1 0.0; entry 2 8.0; entry 3 101.8, all in kJ/mol of atoms.

Entry 1
Computed, not measured: Ti3ZnH after structural relaxation at the PBE-GGA level of DFT.

abc: 15.234 7.241 7.241
angles: 157.96 150.34 29.66
Sites, in units of the cell vectors:
Zn: 0.549 0.043 0.957
Zn: 0.451 0.957 0.043
Ti: 0.328 0.891 0.109
Ti: 0.955 0.701 0.299
Ti: 0.795 0.188 0.812
Ti: 0.672 0.109 0.891
Ti: 0.205 0.812 0.188
Ti: 0.045 0.299 0.701
H: 0.886 0.981 0.019
H: 0.114 0.019 0.981

Summary:
As for the density of states at the Fermi level: 1.146 states/eV per atom. Its space group is C2/m. The value obtained for the volume is 139.4 Å³ per cell. For the total moment, the calculation gives 0.0 μB/cell.

Entry 2
Computed, not measured: Ti3ZnH after structural relaxation at the PBE-GGA level of DFT.

abc: 5.501 5.501 5.625
angles: 90.00 90.00 123.99
Sites, in units of the cell vectors:
H: 0.121 0.879 0.250
H: 0.879 0.121 0.750
Ti: 0.000 0.000 0.000
Ti: 0.510 0.992 0.250
Ti: 0.008 0.490 0.250
Ti: 0.490 0.008 0.750
Ti: 0.000 0.000 0.500
Ti: 0.992 0.510 0.750
Zn: 0.509 0.491 0.250
Zn: 0.491 0.509 0.750

Summary:
As for the density of states at the Fermi level: 0.936 states/eV per atom. Its space group is Cmcm. The value obtained for the volume is 141.1 Å³ per cell. For the total moment, the calculation gives 0.0 μB/cell.

Entry 3
Computed, not measured: Ti3ZnH after structural relaxation at the PBE-GGA level of DFT.

abc: 4.715 5.532 5.143
angles: 90.00 90.60 90.00
Sites, in units of the cell vectors:
Ti: 0.754 0.250 0.629
Ti: 0.245 0.502 0.845
Ti: 0.246 0.750 0.371
Ti: 0.755 0.002 0.155
Ti: 0.245 0.998 0.845
Ti: 0.755 0.498 0.155
Zn: 0.248 0.250 0.345
Zn: 0.752 0.750 0.655
H: 0.465 0.750 0.063
H: 0.535 0.250 0.937

Summary:
As for the density of states at the Fermi level: 0.869 states/eV per atom. Its space group is P2_1/m. The value obtained for the volume is 134.1 Å³ per cell. For the total moment, the calculation gives 0.0 μB/cell.

Entry 4
Computed, not measured: Ti3ZnH after structural relaxation at the PBE-GGA level of DFT.

abc: 7.103 7.103 7.103
angles: 42.68 42.68 42.68
Sites, in units of the cell vectors:
Ti: 0.775 0.437 0.115
Ti: 0.437 0.115 0.775
Ti: 0.115 0.775 0.437
Ti: 0.225 0.563 0.885
Ti: 0.563 0.885 0.225
Ti: 0.885 0.225 0.563
Zn: 0.667 0.667 0.667
Zn: 0.333 0.333 0.333
H: 0.834 0.834 0.834
H: 0.166 0.166 0.166

Summary:
As for the density of states at the Fermi level: 0.484 states/eV per atom. Its space group is R-3. The value obtained for the volume is 149.2 Å³ per cell. For the total moment, the calculation gives 0.0 μB/cell.

Relative to the most stable structure, the computed energies are entry 1 10.4; entry 2 17.4; entry 3 0.0; entry 4 18.9, all in kJ/mol of atoms.